No. 1
Density functional theory data (GGA-PBE) for a relaxed structure of SrGeP2O.

Calculated values
E = -3.621 eV/atom
Formation energy from raw total energies = 794 meV per atom

The structure in CIF format:
```
data_SrGeP2O
_cell_length_a 5.614
_cell_length_b 5.614
_cell_length_c 4.347
_cell_angle_alpha 90.00
_cell_angle_beta 90.00
_cell_angle_gamma 90.00
_space_group_name_H-M_alt 'P 4/m m m'
_space_group_IT_number 123
_space_group_name_Hall '-P 4 2'
loop_
_atom_site_label
_atom_site_type_symbol
_atom_site_fract_x
_atom_site_fract_y
_atom_site_fract_z
Sr1 Sr 0.000 0.000 0.000
Ge1 Ge 0.500 0.500 0.500
P1 P 0.000 0.500 0.000
O1 O 0.000 0.000 0.500
```

=====

No. 2
Density functional theory data (GGA-PBE) for a relaxed structure of SrGeP2O.

Calculated values
E = -4.727 eV/atom
Formation energy from raw total energies = -312 meV per atom

The structure in CIF format:
```
data_SrGeP2O
_cell_length_a 5.138
_cell_length_b 5.138
_cell_length_c 3.727
_cell_angle_alpha 90.00
_cell_angle_beta 90.00
_cell_angle_gamma 90.00
_space_group_name_H-M_alt 'P 4/m m m'
_space_group_IT_number 123
_space_group_name_Hall '-P 4 2'
loop_
_atom_site_label
_atom_site_type_symbol
_atom_site_fract_x
_atom_site_fract_y
_atom_site_fract_z
Sr1 Sr 0.000 0.000 0.000
Ge1 Ge 0.500 0.500 0.500
P1 P 0.000 0.500 0.500
O1 O 0.500 0.500 0.000
```

=====

No. 3
Density functional theory data (GGA-PBE) for a relaxed structure of SrGe2PO8.

Calculated values
E = -6.200 eV/atom
Formation energy from raw total energies = -1534 meV per atom

The structure in CIF format:
```
data_SrGe2PO8
_cell_length_a 4.6900
_cell_length_b 4.6900
_cell_length_c 25.2599
_cell_angle_alpha 90.00
_cell_angle_beta 90.00
_cell_angle_gamma 120.00
_space_group_name_H-M_alt 'R 3 2'
_space_group_IT_number 155
_space_group_name_Hall 'R 3 2"'
loop_
_atom_site_label
_atom_site_type_symbol
_atom_site_fract_x
_atom_site_fract_y
_atom_site_fract_z
Sr1 Sr 0.0000 0.0000 0.0000
Ge1 Ge 0.0000 0.0000 0.2337
P1 P 0.0000 0.0000 0.5000
O1 O 0.0000 0.0000 0.3020
O2 O 0.0015 0.2861 0.5443
```